No. 1
The following is a GGA-PBE calculation of a geometry-optimized Tm8Ge3CSe4 structure, from Alexandria.

DFT total energy = -0.214 hartree per atom

Cell lengths 7.9842, 7.9842, 19.9035 Å; angles 90.00, 90.00, 120.00 degrees
Closest atoms and distances in Å follow each position.
Space group R-3m (No. 166, hexagonal axes)
Inequivalent atoms, fractional coordinates:
Tm (0.0000, 0.0000, 0.2466) [6 per cell]  3 Ge 2.80, 3 Se 2.88
Tm (0.0231, 0.5116, 0.2399) [18 per cell]  1 C 2.59, 2 Ge 2.80, 2 Se 2.90
Ge (0.0000, 0.5000, 0.5000) [9 per cell]  6 Tm 2.80
C (0.0000, 0.0000, 0.5000) [3 per cell]  6 Tm 2.59
Se (0.0000, 0.0000, 0.0000) [3 per cell]  6 Tm 3.09
Se (0.0000, 0.5000, 0.0000) [9 per cell]  6 Tm 2.88-2.90

---

No. 2
The following is a GGA-PBE calculation of a geometry-optimized NbAlMoIr structure, from Alexandria.

E_form = -0.39 eV/atom
DFT total energy = -0.322 hartree per atom

Cell lengths 6.3019, 6.3019, 6.3019 Å; angles 90.00, 90.00, 90.00 degrees
Closest atoms and distances in Å follow each position.
Space group F-43m (No. 216)
Inequivalent atoms, fractional coordinates:
Nb (0.0000, 0.0000, 0.0000) [4 per cell]  4 Mo 2.73, 4 Ir 2.73
Al (0.0000, 0.0000, 0.5000) [4 per cell]  4 Ir 2.73, 4 Mo 2.73
Mo (0.2500, 0.2500, 0.2500) [4 per cell]  4 Nb 2.73, 4 Al 2.73
Ir (0.2500, 0.2500, 0.7500) [4 per cell]  4 Nb 2.73, 4 Al 2.73

---

No. 3
The following is a GGA-PBE calculation of a geometry-optimized YP2HS structure, from Alexandria.

DFT total energy = -0.151 hartree per atom
distance to the lowest polymorph of the same formula = 5.841 eV per formula unit

Cell lengths 5.4354, 5.4354, 5.2328 Å; angles 90.00, 90.00, 90.00 degrees
Closest atoms and distances in Å follow each position.
Space group P4/mmm (No. 123)
Inequivalent atoms, fractional coordinates:
Y (0.0000, 0.0000, 0.0000) [1 per cell]  2 S 2.62, 4 P 2.72
P (0.0000, 0.5000, 0.0000) [2 per cell]  2 Y 2.72
H (0.5000, 0.5000, 0.5000) [1 per cell]  8 P 3.77, 4 S 3.84
S (0.0000, 0.0000, 0.5000) [1 per cell]  2 Y 2.62

---

No. 4
The following is a GGA-PBE calculation of a geometry-optimized AcGa4Ag2Pt structure, from Alexandria.

E_form = -0.36 eV/atom
DFT total energy = -0.142 hartree per atom

Cell lengths 4.4586, 4.4586, 28.4024 Å; angles 90.00, 90.00, 120.00 degrees
Closest atoms and distances in Å follow each position.
Space group R-3m (No. 166, hexagonal axes)
Inequivalent atoms, fractional coordinates:
Ac (0.0000, 0.0000, 0.0000) [3 per cell]  6 Ga 3.29, 6 Ag 3.64
Ga (0.0000, 0.0000, 0.1342) [6 per cell]  3 Pt 2.73, 3 Ag 2.85
Ga (0.0000, 0.0000, 0.4056) [6 per cell]  3 Ag 2.63, 1 Pt 2.68
Ag (0.0000, 0.0000, 0.2426) [6 per cell]  6 Ga 2.63-2.85
Pt (0.0000, 0.0000, 0.5000) [3 per cell]  8 Ga 2.68-2.73

---

No. 5
The following is a GGA-PBE calculation of a geometry-optimized KRbNa2F structure, from Alexandria.

DFT total energy = -0.078 hartree per atom
distance to the lowest polymorph of the same formula = 0.066 eV per formula unit

Cell lengths 6.3348, 6.3348, 5.1409 Å; angles 90.00, 90.00, 90.00 degrees
Closest atoms and distances in Å follow each position.
Space group P4/mmm (No. 123)
Inequivalent atoms, fractional coordinates:
K (0.0000, 0.0000, 0.0000) [1 per cell]  2 F 2.57
Rb (0.5000, 0.5000, 0.0000) [1 per cell]  8 Na 4.08, 4 K 4.48
Na (0.0000, 0.5000, 0.5000) [2 per cell]  2 F 3.17
F (0.0000, 0.0000, 0.5000) [1 per cell]  2 K 2.57

---

No. 6
The following is a GGA-PBE calculation of a geometry-optimized Sr2Li2InPd5 structure, from Alexandria.

E_form = -0.54 eV/atom
DFT total energy = -0.152 hartree per atom

Cell lengths 9.8942, 9.8942, 3.8303 Å; angles 90.00, 90.00, 90.00 degrees
Closest atoms and distances in Å follow each position.
Space group P4/mbm (No. 127)
Inequivalent atoms, fractional coordinates:
Sr (0.1807, 0.3193, 0.0000) [4 per cell]  3 Li 2.82-3.02
Li (0.1177, 0.6177, 0.0000) [4 per cell]  6 Pd 2.53-2.63, 1 Sr 2.82
In (0.0000, 0.0000, 0.0000) [2 per cell]  8 Pd 2.89
Pd (0.0000, 0.5000, 0.5000) [2 per cell]  4 Li 2.53
Pd (0.0605, 0.7899, 0.5000) [8 per cell]  2 Li 2.63, 2 In 2.89, 1 Pd 2.93

---

No. 7
The following is a GGA-PBE calculation of a geometry-optimized Ba2Os structure, from Alexandria.

E_form = 1.08 eV/atom
DFT total energy = -0.145 hartree per atom
distance to the lowest polymorph of the same formula = 2.584 eV per formula unit

Cell lengths 5.6186, 5.6186, 3.1412 Å; angles 90.00, 90.00, 120.00 degrees
Closest atoms and distances in Å follow each position.
Space group P6/mmm (No. 191)
Inequivalent atoms, fractional coordinates:
Ba (0.3333, 0.6667, 0.0000) [2 per cell]  5 Ba 3.14-3.24
Os (0.0000, 0.0000, 0.5000) [1 per cell]  2 Os 3.14

---

No. 8
The following is a GGA-PBE calculation of a geometry-optimized NdTm5Al structure, from Alexandria.

E_form = 0.71 eV/atom
DFT total energy = -0.136 hartree per atom

Cell lengths 7.7089, 11.2288, 6.1130 Å; angles 90.00, 90.00, 90.00 degrees
Closest atoms and distances in Å follow each position.
Space group Imm2 (No. 44)
Inequivalent atoms, fractional coordinates:
Nd (0.0000, 0.0000, 0.0000) [2 per cell]  6 Tm 3.33-3.70
Tm (0.0000, 0.2558, 0.3814) [4 per cell]  1 Al 2.87
Tm (0.0000, 0.5000, 0.7062) [2 per cell]  1 Al 2.83, 2 Tm 3.03
Tm (0.1904, 0.0000, 0.5107) [4 per cell]  1 Al 2.78, 2 Tm 2.94-3.03
Al (0.0000, 0.5000, 0.2425) [2 per cell]  5 Tm 2.78-2.87

---

No. 9
The following is a GGA-PBE calculation of a geometry-optimized NiP2S2 structure, from Alexandria.

DFT total energy = -0.154 hartree per atom
distance to the lowest polymorph of the same formula = 0.031 eV per formula unit

Cell lengths 4.3847, 4.3847, 4.4348 Å; angles 90.00, 90.00, 90.00 degrees
Closest atoms and distances in Å follow each position.
Space group P4/mmm (No. 123)
Inequivalent atoms, fractional coordinates:
Ni (0.0000, 0.0000, 0.0000) [1 per cell]  4 P 2.19, 2 S 2.22
P (0.0000, 0.5000, 0.0000) [2 per cell]  2 Ni 2.19
S (0.0000, 0.0000, 0.5000) [1 per cell]  2 Ni 2.22
S (0.5000, 0.5000, 0.5000) [1 per cell]  4 S 3.10, 8 P 3.12

---

No. 10
The following is a GGA-PBE calculation of a geometry-optimized DyScNiPt structure, from Alexandria.

E_form = -0.82 eV/atom
DFT total energy = -0.239 hartree per atom

Cell lengths 6.7051, 6.7051, 6.7051 Å; angles 90.00, 90.00, 90.00 degrees
Closest atoms and distances in Å follow each position.
Space group F-43m (No. 216)
Inequivalent atoms, fractional coordinates:
Dy (0.0000, 0.0000, 0.0000) [4 per cell]  4 Ni 2.90, 4 Pt 2.90
Sc (0.0000, 0.0000, 0.5000) [4 per cell]  4 Ni 2.90, 4 Pt 2.90
Ni (0.2500, 0.2500, 0.7500) [4 per cell]  4 Dy 2.90, 4 Sc 2.90
Pt (0.2500, 0.2500, 0.2500) [4 per cell]  4 Dy 2.90, 4 Sc 2.90

---

No. 11
The following is a GGA-PBE calculation of a geometry-optimized Ho2ScBiC structure, from Alexandria.

E_form = -0.57 eV/atom
DFT total energy = -0.231 hartree per atom

Cell lengths 4.9086, 4.9086, 4.5913 Å; angles 90.00, 90.00, 90.00 degrees
Closest atoms and distances in Å follow each position.
Space group P4/mmm (No. 123)
Inequivalent atoms, fractional coordinates:
Ho (0.0000, 0.5000, 0.0000) [2 per cell]  2 C 2.45
Sc (0.0000, 0.0000, 0.5000) [1 per cell]  2 C 2.30
Bi (0.5000, 0.5000, 0.5000) [1 per cell]  8 Ho 3.36, 4 Sc 3.47
C (0.0000, 0.0000, 0.0000) [1 per cell]  2 Sc 2.30, 4 Ho 2.45

---

No. 12
The following is a GGA-PBE calculation of a geometry-optimized EuDy2Sn structure, from Alexandria.

E_form = -0.37 eV/atom
DFT total energy = -0.229 hartree per atom
distance to the lowest polymorph of the same formula = 0.000 eV per formula unit

Cell lengths 4.9222, 4.9222, 4.7808 Å; angles 90.00, 90.00, 90.00 degrees
Closest atoms and distances in Å follow each position.
Space group P4/mmm (No. 123)
Inequivalent atoms, fractional coordinates:
Eu (0.0000, 0.0000, 0.0000) [1 per cell]  8 Dy 3.43, 4 Sn 3.48
Dy (0.0000, 0.5000, 0.5000) [2 per cell]  4 Sn 3.43, 4 Eu 3.43, 4 Dy 3.48
Sn (0.5000, 0.5000, 0.0000) [1 per cell]  8 Dy 3.43, 4 Eu 3.48

---

No. 13
The following is a GGA-PBE calculation of a geometry-optimized Cr2CoP structure, from Alexandria.

E_form = -0.09 eV/atom
DFT total energy = -0.295 hartree per atom

Cell lengths 2.8969, 2.8969, 5.4045 Å; angles 90.00, 90.00, 90.00 degrees
Closest atoms and distances in Å follow each position.
Space group P4mm (No. 99)
Inequivalent atoms, fractional coordinates:
Cr (0.0000, 0.0000, 0.0000) [1 per cell]  4 Cr 2.43, 4 Co 2.54, 1 P 2.66
Cr (0.5000, 0.5000, 0.2431) [1 per cell]  4 Cr 2.43, 4 P 2.45, 1 Co 2.59
Co (0.5000, 0.5000, 0.7215) [1 per cell]  4 P 2.39, 5 Cr 2.54-2.59
P (0.0000, 0.0000, 0.4924) [1 per cell]  4 Co 2.39, 5 Cr 2.45-2.66

---

No. 14
The following is a GGA-PBE calculation of a geometry-optimized Na2BeGe structure, from Alexandria.

E_form = 0.20 eV/atom
DFT total energy = -0.093 hartree per atom
distance to the lowest polymorph of the same formula = 0.000 eV per formula unit

Cell lengths 10.9919, 10.9919, 4.1207 Å; angles 90.00, 90.00, 90.00 degrees
Closest atoms and distances in Å follow each position.
Space group I-42d (No. 122)
Inequivalent atoms, fractional coordinates:
Na (0.0118, 0.2500, 0.1250) [8 per cell]  2 Be 2.80
Be (0.0000, 0.0000, 0.0000) [4 per cell]  2 Ge 2.06
Ge (0.0000, 0.0000, 0.5000) [4 per cell]  2 Be 2.06

---

No. 15
The following is a GGA-PBE calculation of a geometry-optimized Cs3Se2Br9 structure, from Alexandria.

DFT total energy = -0.093 hartree per atom

Cell lengths 7.7427, 7.7427, 19.3916 Å; angles 90.00, 90.00, 120.00 degrees
Closest atoms and distances in Å follow each position.
Space group P6_3/mmc (No. 194)
Inequivalent atoms, fractional coordinates:
Cs (0.0000, 0.0000, 0.2500) [2 per cell]  12 Br 3.87-3.92
Cs (0.3333, 0.6667, 0.0832) [4 per cell]  12 Br 3.87-3.94
Se (0.3333, 0.6667, 0.6516) [4 per cell]  3 Br 2.61
Br (0.0006, 0.5003, 0.7500) [6 per cell]  2 Se 2.94
Br (0.1656, 0.3312, 0.5835) [12 per cell]  1 Se 2.61